No. 1
Computed, not measured: an optimized crystal structure of TaTePt2 at the GGA-PBE level of DFT.

Results
As for the volume: 73 Å³/cell. Its raw formation energy is -0.055 eV/atom. The total magnetic moment comes out at 0.00 Bohr magnetons per cell.

abc: 4.810 4.810 3.380
angles: 89.93 89.93 110.26
Positions (direct):
Pt 0.000 0.000 0.000
Pt 0.500 0.500 0.000
Ta 0.500 0.000 0.500
Te 0.000 0.500 0.500



No. 2
Computed, not measured: an optimized crystal structure of TaTePt2 at the GGA-PBE level of DFT.

Results
As for the volume: 71 Å³/cell. Its raw formation energy is -0.031 eV/atom. The total magnetic moment comes out at 0.00 Bohr magnetons per cell.

abc: 5.388 5.388 5.388
angles: 142.55 130.61 63.59
Positions (direct):
Te 0.250 0.750 0.500
Ta 0.750 0.250 0.500
Pt 0.490 0.490 0.000
Pt 0.010 0.010 0.000



No. 3
Computed, not measured: an optimized crystal structure of TaTePt2 at the GGA-PBE level of DFT.

Results
As for the volume: 74 Å³/cell. Its raw formation energy is -0.205 eV/atom. The total magnetic moment comes out at 0.00 Bohr magnetons per cell.

abc: 3.608 3.645 6.692
angles: 57.00 90.00 90.00
Positions (direct):
Te 0.500 0.750 0.750
Ta 0.500 0.250 0.250
Pt 0.000 0.519 0.481
Pt 0.000 0.981 0.019



No. 4
Computed, not measured: an optimized crystal structure of TaTePt2 at the GGA-PBE level of DFT.

Results
As for the volume: 75 Å³/cell. Its raw formation energy is 0.006 eV/atom. The total magnetic moment comes out at 0.00 Bohr magnetons per cell.

abc: 5.095 5.095 2.870
angles: 90.00 90.00 90.00
Positions (direct):
Pt 0.000 0.000 0.000
Pt 0.500 0.500 0.000
Te 0.000 0.500 0.500
Ta 0.500 0.000 0.500



No. 5
Computed, not measured: an optimized crystal structure of TaTePt3 at the GGA-PBE level of DFT.

Results
As for the volume: 116 Å³/cell. Its raw formation energy is 1.187 eV/atom. The total magnetic moment comes out at 2.43 Bohr magnetons per cell. The calculation puts the energy above the most stable polymorph in this dataset at 0.348 eV per atom.

abc: 4.875 4.875 4.875
angles: 90.00 90.00 90.00
Last column: magnetic moment on the atom in μB.
Positions (direct):
Ta 0.500 0.500 0.500  1.58
Te 0.000 0.000 0.000  0.02
Pt 0.500 0.000 0.000  0.02
Pt 0.000 0.000 0.500  0.02
Pt 0.000 0.500 0.000  0.00



No. 6
Computed, not measured: an optimized crystal structure of Ta3TePt at the GGA-PBE level of DFT.

Results
As for the volume: 120 Å³/cell. Its raw formation energy is 1.071 eV/atom. The total magnetic moment comes out at 0.00 Bohr magnetons per cell. The calculation puts the energy above the most stable polymorph in this dataset at 0.000 eV per atom.

abc: 4.932 4.932 4.932
angles: 90.00 90.00 90.00
Positions (direct):
Ta 0.500 0.000 0.000
Ta 0.000 0.000 0.500
Ta 0.000 0.500 0.000
Te 0.500 0.500 0.500
Pt 0.000 0.000 0.000